[1]
Density functional theory data (GGA-PBEsol) for a geometry-optimized Nb2FeCo structure.

Values from the calculation:
Space group: No. 225
ΔH_f (0 K): -0.04 eV/f.u.

a = 4.301 Å, b = 4.301 Å, c = 4.301 Å
α = 60.00°, β = 60.00°, γ = 60.00°
Fractional positions:
Nb 0.250 0.250 0.250
Nb 0.750 0.750 0.750
Fe 0.000 0.000 0.000
Co 0.500 0.500 0.500

---

[2]
Density functional theory data (GGA-PBEsol) for a geometry-optimized Nb2FeCo3 structure.

Values from the calculation:
Space group: No. 194
ΔH_f (0 K): -1.14 eV/f.u.

a = 4.739 Å, b = 4.739 Å, c = 7.621 Å
α = 90.00°, β = 90.00°, γ = 120.00°
Fractional positions:
Nb 0.333 0.667 0.064
Nb 0.333 0.667 0.436
Nb 0.667 0.333 0.564
Nb 0.667 0.333 0.936
Fe 0.000 0.000 0.000
Fe 0.000 0.000 0.500
Co 0.169 0.337 0.750
Co 0.169 0.831 0.750
Co 0.337 0.169 0.250
Co 0.663 0.831 0.750
Co 0.831 0.169 0.250
Co 0.831 0.663 0.250

---

[3]
Density functional theory data (GGA-PBEsol) for a geometry-optimized Nb3FeCo structure.

Values from the calculation:
Space group: No. 221
ΔH_f (0 K): 5.02 eV/f.u.

a = 4.509 Å, b = 4.509 Å, c = 4.509 Å
α = 90.00°, β = 90.00°, γ = 90.00°
Fractional positions:
Nb 0.000 0.000 0.500
Nb 0.000 0.500 0.000
Nb 0.500 0.000 0.000
Fe 0.500 0.500 0.500
Co 0.000 0.000 0.000